Record 1
# Na3Bi4Au2 | the Alexandria database | PBE | relaxed
data_Na3Bi4Au2
_space_group_name_H-M_alt 'P -1'
_space_group_IT_number 2
_space_group_name_Hall '-P 1'
_cell_length_a 5.302
_cell_length_b 5.868
_cell_length_c 10.263
_cell_angle_alpha 100.05
_cell_angle_beta 90.14
_cell_angle_gamma 116.79
loop_
_atom_site_label
_atom_site_fract_x
_atom_site_fract_y
_atom_site_fract_z
Na1 0.000 0.000 0.000
Na2 0.373 0.745 0.613
Bi1 0.084 0.167 0.683
Bi2 0.295 0.590 0.941
Au1 0.320 0.641 0.317
# spin magnetization: 0.00 Bohr magnetons per cell
# formation energy: -14 kJ per mole of atoms


Record 2
# WBr3 | the Alexandria database | PBE | relaxed
data_WBr3
_space_group_name_H-M_alt 'P 63/m m c'
_space_group_IT_number 194
_space_group_name_Hall '-P 6c 2c'
_cell_length_a 8.7807
_cell_length_b 8.7807
_cell_length_c 6.5958
_cell_angle_alpha 90.00
_cell_angle_beta 90.00
_cell_angle_gamma 120.00
loop_
_atom_site_label
_atom_site_fract_x
_atom_site_fract_y
_atom_site_fract_z
W1 0.0000 0.0000 0.0000
W2 0.3333 0.6667 0.2500
Br1 0.0000 0.5000 0.0000
Br2 0.1283 0.2565 0.7500
# spin magnetization: 10.52 Bohr magnetons per cell
# polymorph energy (0 for the lowest one): 0.531 eV/atom


Record 3
# PrSmZnSb | the Alexandria database | PBE | relaxed
data_PrSmZnSb
_space_group_name_H-M_alt 'F -4 3 m'
_space_group_IT_number 216
_space_group_name_Hall 'F -4 2 3'
_cell_length_a 7.563
_cell_length_b 7.563
_cell_length_c 7.563
_cell_angle_alpha 90.00
_cell_angle_beta 90.00
_cell_angle_gamma 90.00
loop_
_atom_site_label
_atom_site_fract_x
_atom_site_fract_y
_atom_site_fract_z
Pr1 0.000 0.000 0.000
Sm1 0.000 0.000 0.500
Zn1 0.250 0.250 0.250
Sb1 0.250 0.250 0.750
# spin magnetization: 0.00 Bohr magnetons per cell
# total energy: -68.7 eV/cell


Repeat the second record exactly.
# WBr3 | the Alexandria database | PBE | relaxed
data_WBr3
_space_group_name_H-M_alt 'P 63/m m c'
_space_group_IT_number 194
_space_group_name_Hall '-P 6c 2c'
_cell_length_a 8.7807
_cell_length_b 8.7807
_cell_length_c 6.5958
_cell_angle_alpha 90.00
_cell_angle_beta 90.00
_cell_angle_gamma 120.00
loop_
_atom_site_label
_atom_site_fract_x
_atom_site_fract_y
_atom_site_fract_z
W1 0.0000 0.0000 0.0000
W2 0.3333 0.6667 0.2500
Br1 0.0000 0.5000 0.0000
Br2 0.1283 0.2565 0.7500
# spin magnetization: 10.52 Bohr magnetons per cell
# polymorph energy (0 for the lowest one): 0.531 eV/atom